No. 1
The following is a GGA-PBE calculation of a geometry-optimized CuTc3 structure, from Alexandria via LeMat-Bulk.

**Total DFT energy (no corrections)**: -8.572 eV/atom
**Magnetization**: 0.000 μB per formula unit
**E above lowest polymorph**: 0.131 eV per atom
**Calculated formation energy**: 0.2270 eV/atom

abc: 4.690 4.690 2.722
angles: 90.00 90.00 110.16
Atoms (fractional coordinates):
Cu 0.000 0.000 0.000
Tc 0.000 0.500 0.500
Tc 0.500 0.000 0.500
Tc 0.500 0.500 0.000

No. 2
The following is a GGA-PBE calculation of a geometry-optimized Cu2Tc structure, from Alexandria via LeMat-Bulk.

**Total DFT energy (no corrections)**: -5.848 eV/atom
**Magnetization**: 0.361 μB per formula unit
**E above lowest polymorph**: 0.185 eV per atom
**Calculated formation energy**: 0.3384 eV/atom

abc: 4.720 4.720 4.720
angles: 148.90 133.87 56.69
Atoms (fractional coordinates):
Cu 0.006 0.006 0.000
Cu 0.660 0.660 0.000
Tc 0.333 0.333 0.000

No. 3
The following is a GGA-PBE calculation of a geometry-optimized Cu2Tc structure, from Alexandria via LeMat-Bulk.

**Total DFT energy (no corrections)**: -6.010 eV/atom
**Magnetization**: 0.000 μB per formula unit
**E above lowest polymorph**: 0.022 eV per atom
**Calculated formation energy**: 0.1756 eV/atom

abc: 6.205 6.205 6.205
angles: 156.25 156.25 33.84
Atoms (fractional coordinates):
Cu 0.005 0.005 0.000
Cu 0.662 0.662 0.000
Tc 0.333 0.333 0.000